No. 1
VASP calculation (meta-GGA SCAN) on a PBEsol-optimized structure of ZnH2Pb.

Properties
The total energy comes out at -23.766 eV per atom. The value obtained for the mass density is 8.04 g cm⁻³. The value obtained for the density of states at the Fermi level is 1.2 states/eV/cell. Its calculated volume is 56.7 Å³/f.u. The magnetic moment is 0.00 μB per cell.

```
ZnH2Pb
1.0
-1.680 1.177 4.869
-2.330 -4.410 -1.743
5.214 -0.852 0.001
H Zn Pb
4 2 2
Direct
0.250 0.875 0.625 H
0.750 0.375 0.125 H
0.750 0.375 0.625 H
0.250 0.375 0.625 H
0.000 0.500 0.500 Zn
0.500 0.250 0.750 Zn
0.500 0.750 0.250 Pb
0.000 0.000 0.000 Pb
```

---

No. 2
VASP calculation (meta-GGA SCAN) on a PBEsol-optimized structure of RbTl2Cd2.

Properties
For the energy relative to the lowest polymorph listed for this composition, the calculation gives 0.0 meV per atom. The total energy comes out at -45.363 eV per atom. The value obtained for the mass density is 7.79 g cm⁻³. The value obtained for the formation energy is -0.11 eV per atom. The value obtained for the density of states at the Fermi level is 2.4 states/eV/cell. Its calculated volume is 153.2 Å³/f.u. The magnetic moment is 0.00 μB per cell.

```
RbTl2Cd2
1.0
4.913 0.000 0.000
0.000 4.913 0.000
-2.456 -2.456 6.348
Tl Cd Rb
2 2 1
Direct
0.621 0.621 0.241 Tl
0.379 0.379 0.759 Tl
0.750 0.250 0.500 Cd
0.250 0.750 0.500 Cd
0.000 0.000 0.000 Rb
```

---

No. 3
VASP calculation (meta-GGA SCAN) on a PBEsol-optimized structure of BaMgCu2.

Properties
The total energy comes out at -18.288 eV per atom. The value obtained for the mass density is 5.40 g cm⁻³. The value obtained for the formation energy is 0.44 eV per atom. The value obtained for the density of states at the Fermi level is 1.6 states/eV/cell. Its calculated volume is 88.8 Å³/f.u. The magnetic moment is 0.00 μB per cell.

```
BaMgCu2
1.0
-0.183 4.727 -1.646
-2.724 1.139 -4.045
-4.216 2.660 0.487
Cu Ba Mg
2 1 1
Direct
0.000 0.000 0.000 Cu
0.750 0.750 0.750 Cu
0.500 0.500 0.500 Ba
0.250 0.250 0.250 Mg
```

---

No. 4
VASP calculation (meta-GGA SCAN) on a PBEsol-optimized structure of Cs3SrMg.

Properties
The total energy comes out at -27.793 eV per atom. The value obtained for the mass density is 2.04 g cm⁻³. The value obtained for the formation energy is 0.34 eV per atom. The value obtained for the density of states at the Fermi level is 4.5 states/eV/cell. Its calculated volume is 415.7 Å³/f.u. The magnetic moment is 0.00 μB per cell.

```
Cs3SrMg
1.0
-1.770 -0.947 -7.188
2.704 -6.952 0.251
-6.728 -2.545 1.992
Cs Sr Mg
3 1 1
Direct
0.000 0.000 0.500 Cs
0.500 0.000 0.000 Cs
0.000 0.500 0.000 Cs
0.500 0.500 0.500 Sr
0.000 0.000 0.000 Mg
```